The following is a meta-GGA SCAN calculation of a crystal of SbTeRuI2 relaxed with PBEsol, from the Alexandria database.

abc: 5.7742 5.7742 5.7859
angles: 90.00 90.00 90.00
Last column: nearest neighbours and their distance in Å.
Fractional coordinates of all 5 atoms:
Sb 0.0000 0.0000 0.0000  2 Te 2.89
Te 0.0000 0.0000 0.5000  4 I 2.89, 2 Sb 2.89
Ru 0.5000 0.5000 0.0000  4 Sb 4.08, 8 I 4.09
I 0.0000 0.5000 0.5000  2 Te 2.89
I 0.5000 0.0000 0.5000  2 Te 2.89

Calculated values
V	38.6	Å³ per atom
density of states at the Fermi level	3.36	states/eV/cell
space-group type	No. 123
formation energy (no corrections)	1327	meV per atom
total DFT energy (no corrections)	-35.24	eV/atom

The following is a meta-GGA SCAN calculation of a crystal of ZrSbRuI2 relaxed with PBEsol, from the Alexandria database.

abc: 5.1704 5.1704 5.0756
angles: 90.00 90.00 90.00
Last column: nearest neighbours and their distance in Å.
Fractional coordinates of all 5 atoms:
Zr 0.0000 0.0000 0.0000  8 I 3.62, 4 Sb 3.66
Sb 0.5000 0.5000 0.0000  2 Ru 2.54
Ru 0.5000 0.5000 0.5000  2 Sb 2.54, 4 I 2.59
I 0.0000 0.5000 0.5000  2 Ru 2.59
I 0.5000 0.0000 0.5000  2 Ru 2.59

Calculated values
V	27.1	Å³ per atom
density of states at the Fermi level	5.00	states/eV/cell
space-group type	No. 123
formation energy (no corrections)	693	meV per atom
total DFT energy (no corrections)	-34.56	eV/atom

The following is a meta-GGA SCAN calculation of a crystal of ScTe2RuI relaxed with PBEsol, from the Alexandria database.

abc: 5.4441 5.4441 5.4511
angles: 90.00 90.00 90.00
Last column: nearest neighbours and their distance in Å.
Fractional coordinates of all 5 atoms:
Sc 0.0000 0.0000 0.0000  4 Te 2.72, 2 I 2.73
Te 0.0000 0.5000 0.0000  2 Sc 2.72
Te 0.5000 0.0000 0.0000  2 Sc 2.72
Ru 0.5000 0.5000 0.5000  4 I 3.85, 8 Te 3.85
I 0.0000 0.0000 0.5000  2 Sc 2.73

Calculated values
V	32.3	Å³ per atom
density of states at the Fermi level	2.92	states/eV/cell
space-group type	No. 123
formation energy (no corrections)	453	meV per atom
total DFT energy (no corrections)	-31.61	eV/atom

The following is a meta-GGA SCAN calculation of a crystal of SiRuI2 relaxed with PBEsol, from the Alexandria database.

abc: 4.9128 4.9128 4.9128
angles: 60.00 60.00 60.00
Last column: nearest neighbours and their distance in Å.
Fractional coordinates of all 4 atoms:
Si 0.0000 0.0000 0.0000  8 I 3.01
Ru 0.5000 0.5000 0.5000  8 I 3.01
I 0.2500 0.2500 0.2500  4 Ru 3.01, 4 Si 3.01
I 0.7500 0.7500 0.7500  4 Ru 3.01, 4 Si 3.01

Calculated values
V	21.0	Å³ per atom
density of states at the Fermi level	2.37	states/eV/cell
space-group type	No. 225
formation energy (no corrections)	1138	meV per atom
total DFT energy (no corrections)	-28.44	eV/atom

The following is a meta-GGA SCAN calculation of a crystal of SnRu3I relaxed with PBEsol, from the Alexandria database.

abc: 4.7501 4.7501 4.7501
angles: 90.00 90.00 90.00
Last column: nearest neighbours and their distance in Å.
Fractional coordinates of all 5 atoms:
Sn 0.0000 0.0000 0.0000  12 Ru 3.36
Ru 0.0000 0.5000 0.5000  2 I 2.38
Ru 0.5000 0.0000 0.5000  2 I 2.38
Ru 0.5000 0.5000 0.0000  2 I 2.38
I 0.5000 0.5000 0.5000  6 Ru 2.38

Calculated values
V	21.4	Å³ per atom
density of states at the Fermi level	5.88	states/eV/cell
space-group type	No. 221
formation energy (no corrections)	1698	meV per atom
total DFT energy (no corrections)	-33.73	eV/atom

The following is a meta-GGA SCAN calculation of a crystal of SnRuI3 relaxed with PBEsol, from the Alexandria database.

abc: 5.2710 5.2710 5.2710
angles: 90.00 90.00 90.00
Last column: nearest neighbours and their distance in Å.
Fractional coordinates of all 5 atoms:
Sn 0.0000 0.0000 0.0000  12 I 3.73
Ru 0.5000 0.5000 0.5000  6 I 2.64
I 0.0000 0.5000 0.5000  2 Ru 2.64
I 0.5000 0.0000 0.5000  2 Ru 2.64
I 0.5000 0.5000 0.0000  2 Ru 2.64

Calculated values
V	29.3	Å³ per atom
density of states at the Fermi level	3.02	states/eV/cell
space-group type	No. 221
formation energy (no corrections)	359	meV per atom
total DFT energy (no corrections)	-35.84	eV/atom

The following is a meta-GGA SCAN calculation of a crystal of Sn2RuI relaxed with PBEsol, from the Alexandria database.

abc: 5.0636 5.0636 5.0636
angles: 60.00 60.00 60.00
Last column: nearest neighbours and their distance in Å.
Fractional coordinates of all 4 atoms:
Sn 0.2500 0.2500 0.2500  4 I 3.10, 4 Ru 3.10
Sn 0.7500 0.7500 0.7500  4 I 3.10, 4 Ru 3.10
Ru 0.0000 0.0000 0.0000  8 Sn 3.10
I 0.5000 0.5000 0.5000  8 Sn 3.10

Calculated values
V	23.0	Å³ per atom
density of states at the Fermi level	3.24	states/eV/cell
space-group type	No. 225
formation energy (no corrections)	1002	meV per atom
total DFT energy (no corrections)	-34.85	eV/atom

The following is a meta-GGA SCAN calculation of a crystal of SrTe2RuI relaxed with PBEsol, from the Alexandria database.

abc: 6.0226 6.0226 5.9748
angles: 90.00 90.00 90.00
Last column: nearest neighbours and their distance in Å.
Fractional coordinates of all 5 atoms:
Sr 0.0000 0.0000 0.0000  2 I 2.99, 4 Te 3.01
Te 0.0000 0.5000 0.0000  2 Sr 3.01
Te 0.5000 0.0000 0.0000  2 Sr 3.01
Ru 0.5000 0.5000 0.5000  8 Te 4.24, 4 I 4.26
I 0.0000 0.0000 0.5000  2 Sr 2.99

Calculated values
V	43.3	Å³ per atom
density of states at the Fermi level	5.25	states/eV/cell
space-group type	No. 123
formation energy (no corrections)	810	meV per atom
total DFT energy (no corrections)	-32.86	eV/atom

The following is a meta-GGA SCAN calculation of a crystal of TaTeRuI2 relaxed with PBEsol, from the Alexandria database.

abc: 5.1293 5.1293 5.1156
angles: 90.00 90.00 90.00
Last column: nearest neighbours and their distance in Å.
Fractional coordinates of all 5 atoms:
Ta 0.0000 0.0000 0.0000  8 I 3.62, 4 Te 3.63
Te 0.5000 0.5000 0.0000  2 Ru 2.56
Ru 0.5000 0.5000 0.5000  2 Te 2.56, 4 I 2.56
I 0.0000 0.5000 0.5000  2 Ru 2.56
I 0.5000 0.0000 0.5000  2 Ru 2.56

Calculated values
V	26.9	Å³ per atom
density of states at the Fermi level	3.71	states/eV/cell
space-group type	No. 123
formation energy (no corrections)	1258	meV per atom
total DFT energy (no corrections)	-41.17	eV/atom

The following is a meta-GGA SCAN calculation of a crystal of Tb7RuI12 relaxed with PBEsol, from the Alexandria database.

abc: 9.5260 9.5260 9.5260
angles: 107.32 107.32 107.32
Last column: nearest neighbours and their distance in Å.
Fractional coordinates of all 20 atoms:
Tb 0.0000 0.0000 0.0000  6 I 3.03
Tb 0.1956 0.4710 0.4001  1 Ru 2.67
Tb 0.4001 0.1956 0.4710  1 Ru 2.67
Tb 0.4710 0.4001 0.1956  1 Ru 2.67
Tb 0.5290 0.5999 0.8044  1 Ru 2.67
Tb 0.5999 0.8044 0.5290  1 Ru 2.67
Tb 0.8044 0.5290 0.5999  1 Ru 2.67
Ru 0.5000 0.5000 0.5000  6 Tb 2.67
I 0.0268 0.1081 0.3433  3 Tb 3.03-3.14
I 0.1081 0.3433 0.0268  3 Tb 3.03-3.14
I 0.1791 0.5743 0.7311  3 Tb 3.08-3.25
I 0.2689 0.8209 0.4257  3 Tb 3.08-3.25
I 0.3433 0.0268 0.1081  3 Tb 3.03-3.14
I 0.4257 0.2689 0.8209  3 Tb 3.08-3.25
I 0.5743 0.7311 0.1791  3 Tb 3.08-3.25
I 0.6567 0.9732 0.8919  3 Tb 3.03-3.14
I 0.7311 0.1791 0.5743  3 Tb 3.08-3.25
I 0.8209 0.4257 0.2689  3 Tb 3.08-3.25
I 0.8919 0.6567 0.9732  3 Tb 3.03-3.14
I 0.9732 0.8919 0.6567  3 Tb 3.03-3.14

Calculated values
V	35.7	Å³ per atom
density of states at the Fermi level	9.85	states/eV/cell
space-group type	No. 148
formation energy (no corrections)	-1344	meV per atom
total DFT energy (no corrections)	-41.50	eV/atom

The following is a meta-GGA SCAN calculation of a crystal of Te7RuI6 relaxed with PBEsol, from the Alexandria database.

abc: 9.8894 10.1504 11.4057
angles: 102.06 103.65 111.06
Last column: nearest neighbours and their distance in Å.
Fractional coordinates of all 28 atoms:
Te 0.0166 0.3313 0.0216  1 Ru 2.61, 2 Te 2.83
Te 0.0877 0.9925 0.2988  1 Ru 2.64, 2 Te 2.83
Te 0.0951 0.7445 0.7065  1 Ru 2.57
Te 0.1772 0.2721 0.8580  3 Te 2.83-3.03
Te 0.2002 0.0701 0.0158  2 Ru 2.71, 2 Te 2.99-3.03
Te 0.2602 0.8831 0.1741  3 Te 2.83-2.99
Te 0.2948 0.3879 0.3268  1 Ru 2.57
Te 0.7052 0.6121 0.6732  1 Ru 2.57
Te 0.7398 0.1169 0.8259  3 Te 2.83-2.99
Te 0.7998 0.9299 0.9842  2 Ru 2.71, 2 Te 2.99-3.03
Te 0.8228 0.7279 0.1420  3 Te 2.83-3.03
Te 0.9049 0.2555 0.2935  1 Ru 2.57
Te 0.9123 0.0075 0.7012  1 Ru 2.64, 2 Te 2.83
Te 0.9834 0.6687 0.9784  1 Ru 2.61, 2 Te 2.83
Ru 0.0517 0.1653 0.1618  6 Te 2.57-2.71
Ru 0.9483 0.8347 0.8382  6 Te 2.57-2.71
I 0.1191 0.5890 0.3300  2 Te 3.12-3.16
I 0.1766 0.3312 0.5455  2 Te 3.07-3.17
I 0.2894 0.0246 0.6853  1 Te 2.90
I 0.3331 0.7410 0.9127  1 Te 2.92
I 0.4273 0.5252 0.1500  1 Te 2.97
I 0.4894 0.2324 0.3803  1 Te 2.93
I 0.5106 0.7676 0.6197  1 Te 2.93
I 0.5727 0.4748 0.8500  1 Te 2.97
I 0.6669 0.2590 0.0873  1 Te 2.92
I 0.7106 0.9754 0.3147  1 Te 2.90
I 0.8234 0.6688 0.4545  2 Te 3.07-3.17
I 0.8809 0.4110 0.6700  2 Te 3.12-3.16

Calculated values
V	35.1	Å³ per atom
space-group type	No. 2
formation energy (no corrections)	-152	meV per atom
total DFT energy (no corrections)	-37.01	eV/atom

The following is a meta-GGA SCAN calculation of a crystal of Ru2WI relaxed with PBEsol, from the Alexandria database.

abc: 4.5223 4.5223 4.5223
angles: 60.00 60.00 60.00
Last column: nearest neighbours and their distance in Å.
Fractional coordinates of all 4 atoms:
Ru 0.2500 0.2500 0.2500  4 W 2.77, 4 I 2.77
Ru 0.7500 0.7500 0.7500  4 W 2.77, 4 I 2.77
W 0.0000 0.0000 0.0000  8 Ru 2.77
I 0.5000 0.5000 0.5000  8 Ru 2.77

Calculated values
V	16.3	Å³ per atom
density of states at the Fermi level	2.87	states/eV/cell
space-group type	No. 225
formation energy (no corrections)	1201	meV per atom
total DFT energy (no corrections)	-42.82	eV/atom

Q: total DFT energy (no corrections) of number 8 (SrTe2RuI)?
A: -32.86 eV/atom

What did the eleventh record say?
The following is a meta-GGA SCAN calculation of a crystal of Te7RuI6 relaxed with PBEsol, from the Alexandria database.

abc: 9.8894 10.1504 11.4057
angles: 102.06 103.65 111.06
Last column: nearest neighbours and their distance in Å.
Fractional coordinates of all 28 atoms:
Te 0.0166 0.3313 0.0216  1 Ru 2.61, 2 Te 2.83
Te 0.0877 0.9925 0.2988  1 Ru 2.64, 2 Te 2.83
Te 0.0951 0.7445 0.7065  1 Ru 2.57
Te 0.1772 0.2721 0.8580  3 Te 2.83-3.03
Te 0.2002 0.0701 0.0158  2 Ru 2.71, 2 Te 2.99-3.03
Te 0.2602 0.8831 0.1741  3 Te 2.83-2.99
Te 0.2948 0.3879 0.3268  1 Ru 2.57
Te 0.7052 0.6121 0.6732  1 Ru 2.57
Te 0.7398 0.1169 0.8259  3 Te 2.83-2.99
Te 0.7998 0.9299 0.9842  2 Ru 2.71, 2 Te 2.99-3.03
Te 0.8228 0.7279 0.1420  3 Te 2.83-3.03
Te 0.9049 0.2555 0.2935  1 Ru 2.57
Te 0.9123 0.0075 0.7012  1 Ru 2.64, 2 Te 2.83
Te 0.9834 0.6687 0.9784  1 Ru 2.61, 2 Te 2.83
Ru 0.0517 0.1653 0.1618  6 Te 2.57-2.71
Ru 0.9483 0.8347 0.8382  6 Te 2.57-2.71
I 0.1191 0.5890 0.3300  2 Te 3.12-3.16
I 0.1766 0.3312 0.5455  2 Te 3.07-3.17
I 0.2894 0.0246 0.6853  1 Te 2.90
I 0.3331 0.7410 0.9127  1 Te 2.92
I 0.4273 0.5252 0.1500  1 Te 2.97
I 0.4894 0.2324 0.3803  1 Te 2.93
I 0.5106 0.7676 0.6197  1 Te 2.93
I 0.5727 0.4748 0.8500  1 Te 2.97
I 0.6669 0.2590 0.0873  1 Te 2.92
I 0.7106 0.9754 0.3147  1 Te 2.90
I 0.8234 0.6688 0.4545  2 Te 3.07-3.17
I 0.8809 0.4110 0.6700  2 Te 3.12-3.16

Calculated values
V	35.1	Å³ per atom
space-group type	No. 2
formation energy (no corrections)	-152	meV per atom
total DFT energy (no corrections)	-37.01	eV/atom